Entry from Alexandria via LeMat-Bulk: an optimized crystal structure of MnZnHg2F (PBE with a Hubbard U).

Unit cell a=5.070 b=5.070 c=5.170 alpha=90.00 beta=90.00 gamma=90.00
Element x y z (fractional)
1 Mn 0.000 0.000 0.000
2 Zn 0.000 0.000 0.500
3 Hg 0.000 0.500 0.500
4 Hg 0.500 0.000 0.500
5 F 0.500 0.500 0.000

Output
total magnetization: 5.0 μB/cell
total energy: -2.28 eV per atom
crystal system: tetragonal
Fermi-level density of states: 0.27 states/eV/atom